K3Nd3I10: optimized geometry, GGA-PBEsol.

a b c (Å): 8.8751 14.0250 9.7705
angles (deg): 90.00 93.19 90.00
Closest atoms and distances in Å follow each position.
Atoms (fractional coordinates):
K1 0.1969 0.0000 0.2194  9 I 3.53-3.88
K2 0.2679 0.3517 0.7570  8 I 3.49-3.84
K3 0.2964 0.3180 0.2555  6 I 3.39-3.59
K4 0.7036 0.8180 0.7445  6 I 3.39-3.59
K5 0.7321 0.8517 0.2430  8 I 3.49-3.84
K6 0.8031 0.5000 0.7806  9 I 3.53-3.88
Nd1 0.1717 0.7248 0.5448  6 I 3.10-3.34
Nd2 0.2837 0.9761 0.6916  6 I 3.10-3.27
Nd3 0.3192 0.6487 0.0309  7 I 3.11-3.23
Nd4 0.6808 0.1487 0.9691  7 I 3.11-3.23
Nd5 0.7163 0.4761 0.3084  6 I 3.10-3.27
Nd6 0.8283 0.2248 0.4552  6 I 3.10-3.34
I1 0.0168 0.4177 0.4655  2 Nd 3.11-3.18
I2 0.0416 0.7163 0.8345  2 Nd 3.12-3.18, 1 K 3.39
I3 0.0972 0.7562 0.2212  2 Nd 3.17-3.22, 2 K 3.52-3.53
I4 0.1088 0.4714 0.0269  1 Nd 3.11, 1 K 3.46
I5 0.1873 0.1567 0.5115  2 Nd 3.17-3.34, 1 K 3.55
I6 0.3178 0.1359 0.9356  2 Nd 3.23-3.27, 2 K 3.51-3.58
I7 0.3935 0.5776 0.3340  2 Nd 3.16-3.22
I8 0.4104 0.5963 0.7292  2 Nd 3.19-3.25
I9 0.4128 0.8639 0.9616  2 Nd 3.21-3.23, 1 K 3.49
I10 0.4372 0.8555 0.4727  2 Nd 3.10
I11 0.5628 0.3555 0.5273  2 Nd 3.10
I12 0.5872 0.3639 0.0384  2 Nd 3.21-3.23, 1 K 3.49
I13 0.5896 0.0963 0.2708  2 Nd 3.19-3.25
I14 0.6065 0.0776 0.6660  2 Nd 3.16-3.22
I15 0.6822 0.6359 0.0644  2 Nd 3.23-3.27, 2 K 3.51-3.58
I16 0.8127 0.6567 0.4885  2 Nd 3.17-3.34, 1 K 3.55
I17 0.8912 0.9714 0.9731  1 Nd 3.11, 1 K 3.46
I18 0.9028 0.2562 0.7788  2 Nd 3.17-3.22, 2 K 3.52-3.53
I19 0.9584 0.2163 0.1655  2 Nd 3.12-3.18, 1 K 3.39
I20 0.9832 0.9177 0.5345  2 Nd 3.11-3.18

## Properties
formation energy from raw total energies = -1.329 eV/atom
VASP energy = -115.7 eV per cell
M_tot = 0.07 μB/f.u.